Material: HfNbAs
Method: DFT, PBE
State: relaxed

Structure (extended XYZ):
```
12
Lattice="-4.807 3.389 3.128 0.178 -2.254 2.716 7.878 4.567 3.273" Properties=species:S:1:pos:R:3 pbc="T T T"
Nb 2.155 1.697 1.267
Nb 6.184 2.854 4.261
Nb 3.726 7.219 5.746
Nb -0.124 3.808 5.467
Hf 3.867 3.417 2.582
Hf 0.017 0.007 2.303
Hf -0.564 3.027 2.549
Hf 3.464 4.184 5.544
As 5.547 5.639 4.315
As 1.697 2.228 4.036
As 1.508 5.825 4.735
As -2.342 2.415 4.456
```

Its volume is 18.64 Å³/atom. As for the symmetry: Cm (8). As for the formation energy: -0.537 eV/atom. The crystal system is monoclinic. The calculation puts the theoretical density at 10.28 g/cm³. The total energy comes out at -8.7612 eV per atom.